# TbSm3Rh2 | Alexandria | PBE | relaxed
data_TbSm3Rh2
_space_group_name_H-M_alt 'P 1'
_space_group_IT_number 1
_space_group_name_Hall 'P 1'
_cell_length_a 6.824
_cell_length_b 7.207
_cell_length_c 8.472
_cell_angle_alpha 115.17
_cell_angle_beta 113.75
_cell_angle_gamma 90.00
loop_
_atom_site_label
_atom_site_fract_x
_atom_site_fract_y
_atom_site_fract_z
Tb1 0.000 0.500 0.000
Tb2 0.000 0.000 0.000
Sm1 0.500 0.250 0.000
Sm2 0.500 0.750 0.000
Sm3 0.768 0.018 0.536
Sm4 0.232 0.482 0.464
Sm5 0.232 0.982 0.464
Sm6 0.768 0.518 0.536
Rh1 0.577 0.363 0.726
Rh2 0.851 0.137 0.274
Rh3 0.149 0.863 0.726
Rh4 0.423 0.637 0.274
# Crystal system: orthorhombic
# Uncorrected energy, eV per cell: -73.06
# SG: Ibam (72)

***

# SrOsPt | Alexandria | PBE | relaxed
data_SrOsPt
_space_group_name_H-M_alt 'P 1'
_space_group_IT_number 1
_space_group_name_Hall 'P 1'
_cell_length_a 5.941
_cell_length_b 5.941
_cell_length_c 5.941
_cell_angle_alpha 152.38
_cell_angle_beta 138.63
_cell_angle_gamma 50.47
loop_
_atom_site_label
_atom_site_fract_x
_atom_site_fract_y
_atom_site_fract_z
Os1 0.951 0.951 0.000
Pt1 0.383 0.383 0.000
Sr1 0.665 0.665 0.000
# Crystal system: orthorhombic
# Energy relative to the lowest polymorph listed for this composition, meV per atom: 0
# Uncorrected energy, eV per cell: -18.32
# SG: Imm2 (44)

***

# U2PaTc | Alexandria | PBE | relaxed
data_U2PaTc
_space_group_name_H-M_alt 'P 1'
_space_group_IT_number 1
_space_group_name_Hall 'P 1'
_cell_length_a 4.861
_cell_length_b 4.861
_cell_length_c 4.861
_cell_angle_alpha 60.00
_cell_angle_beta 60.00
_cell_angle_gamma 60.00
loop_
_atom_site_label
_atom_site_fract_x
_atom_site_fract_y
_atom_site_fract_z
Pa1 0.500 0.500 0.500
U1 0.250 0.250 0.250
U2 0.750 0.750 0.750
Tc1 0.000 0.000 0.000
# Crystal system: cubic
# Energy relative to the lowest polymorph listed for this composition, meV per atom: 92
# Uncorrected energy, eV per cell: -41.64
# SG: Fm-3m (225)

***

# MgP | Alexandria | PBE | relaxed
data_MgP
_space_group_name_H-M_alt 'P 1'
_space_group_IT_number 1
_space_group_name_Hall 'P 1'
_cell_length_a 3.271
_cell_length_b 3.271
_cell_length_c 3.271
_cell_angle_alpha 90.00
_cell_angle_beta 90.00
_cell_angle_gamma 90.00
loop_
_atom_site_label
_atom_site_fract_x
_atom_site_fract_y
_atom_site_fract_z
Mg1 0.000 0.000 0.000
P1 0.500 0.500 0.500
# Crystal system: cubic
# Energy relative to the lowest polymorph listed for this composition, meV per atom: 401
# Uncorrected energy, eV per cell: -7.24
# SG: Pm-3m (221)